Below is Zn3CoTe after structural relaxation, with properties calculated at the PBEsol level.

Results
magnetization	1.96	μB per cell
Fermi-level density of states	4.26	states/eV/f.u.
electronic total energy	-0.1351	Ry/atom
symmetry	Pm-3m, No. 221

a b c (Å): 5.097 5.097 5.097
angles (deg): 90.00 90.00 90.00
Atoms (fractional coordinates):
Zn1 0.000 0.500 0.000
Zn2 0.000 0.000 0.500
Co1 0.500 0.500 0.500
Te1 0.000 0.000 0.000
Zn3 0.500 0.000 0.000